No. 1
HoLuPbC: relaxed, GGA-PBE.

Cell and atoms, written as POSCAR:
```
HoLuPbC
1.0
-3.5140 0.7082 -0.1001
1.1389 -3.3895 0.2715
-0.2092 1.1952 15.7994
C Ho Lu Pb
2 2 2 2
Direct
0.0000 0.0000 0.2531
0.0000 0.0000 0.7469
0.3333 0.6667 0.1691
0.3333 0.6667 0.8309
0.6667 0.3333 0.3331
0.6667 0.3333 0.6669
0.6667 0.3333 0.0000
0.3333 0.6667 0.5000
```

Symmetry = P-6m2 (187)



No. 2
HoLuPbC: relaxed, GGA-PBE.

Cell and atoms, written as POSCAR:
```
HoLuPbC
1.0
3.5860 0.0000 0.0000
-1.7930 3.1055 0.0000
0.0000 0.0000 15.8521
C Ho Lu Pb
2 2 2 2
Direct
0.0000 0.0000 0.0000
0.0000 0.0000 0.5000
0.3333 0.6667 0.0834
0.6667 0.3333 0.9166
0.3333 0.6667 0.4195
0.6667 0.3333 0.5805
0.6667 0.3333 0.2531
0.3333 0.6667 0.7469
```

Symmetry = P-3m1 (164)



No. 3
HoLuPbC: relaxed, GGA-PBE.

Cell and atoms, written as POSCAR:
```
HoLuPbC
1.0
-3.1969 1.6227 -0.0904
0.2804 -3.4607 -0.8982
-2.5186 -4.1214 15.0936
C Ho Lu Pb
2 2 2 2
Direct
0.0000 0.0000 0.4983
0.0000 0.0000 0.9983
0.3333 0.6667 0.0821
0.6667 0.3333 0.5821
0.3333 0.6667 0.4181
0.6667 0.3333 0.9181
0.6667 0.3333 0.2514
0.3333 0.6667 0.7514
```

Symmetry = P6_3mc (186)



Number 1: energy -48.31 eV for the cell shown. Number 2: energy -48.31 eV for the cell shown. Number 3: energy -48.31 eV for the cell shown.